Record 1
Computed, not measured: a geometry-optimized Ga2HgPd6 structure at the GGA-PBE level of DFT.

Calculated values
Its formation energy is -0.369 eV per atom. As for the space-group type: C2/m.

Cell: 4.393 4.952 7.731 Å, 77.02 73.50 63.67°
Fractional positions:
Ga 0.322 0.592 0.763
Ga 0.678 0.408 0.237
Hg 0.000 0.500 0.500
Pd 0.672 0.727 0.928
Pd 0.328 0.273 0.072
Pd 0.986 0.857 0.170
Pd 0.354 0.878 0.414
Pd 0.014 0.143 0.830
Pd 0.646 0.122 0.586

***

Record 2
Computed, not measured: a geometry-optimized NaBe2B structure at the GGA-PBE level of DFT.

Calculated values
Its formation energy is 0.087 eV per atom. As for the space-group type: C2/m.

Cell: 5.392 3.387 5.880 Å, 90.00 110.92 90.00°
Fractional positions:
Na 0.000 0.000 0.000
Na 0.000 0.500 0.500
B 0.500 0.000 0.500
B 0.500 0.500 0.000
Be 0.533 0.000 0.177
Be 0.467 0.000 0.823
Be 0.533 0.500 0.677
Be 0.467 0.500 0.323

***

Record 3
Computed, not measured: a geometry-optimized TaH3Br structure at the GGA-PBE level of DFT.

Calculated values
For the total energy, the calculation gives -15.086 eV/f.u. As for the space-group type: Pm-3m.

Cell: 3.685 3.685 3.685 Å, 90.00 90.00 90.00°
Fractional positions:
H 0.000 0.500 0.000
H 0.000 0.000 0.500
H 0.500 0.000 0.000
Br 0.000 0.000 0.000
Ta 0.500 0.500 0.500

***

Record 4
Computed, not measured: a geometry-optimized BaYAg2 structure at the GGA-PBE level of DFT.

Calculated values
Its formation energy is -0.249 eV per atom. As for the space-group type: P2/m.

Cell: 3.809 3.884 8.745 Å, 63.69 90.00 90.00°
Fractional positions:
Y 0.500 0.750 0.750
Ba 0.500 0.250 0.250
Ag 0.000 0.054 0.946
Ag 0.000 0.446 0.554

***

Record 5
Computed, not measured: a geometry-optimized Dy2HoZn5 structure at the GGA-PBE level of DFT.

Calculated values
Its formation energy is -0.312 eV per atom. As for the space-group type: I4/mmm.

Cell: 4.803 4.803 7.822 Å, 107.88 107.88 90.00°
Fractional positions:
Dy 0.734 0.734 0.467
Dy 0.266 0.266 0.533
Ho 0.000 0.000 0.000
Zn 0.500 0.500 0.000
Zn 0.886 0.386 0.772
Zn 0.386 0.886 0.772
Zn 0.114 0.614 0.228
Zn 0.614 0.114 0.228

***

Record 6
Computed, not measured: a geometry-optimized Rb2ZrTiBr6 structure at the GGA-PBE level of DFT.

Calculated values
For the total energy, the calculation gives -40.713 eV/f.u. As for the space-group type: I4/mmm.

Cell: 7.724 7.724 7.721 Å, 59.99 59.99 90.00°
Fractional positions:
Br 0.252 0.252 0.495
Br 0.748 0.748 0.505
Br 0.253 0.253 0.000
Br 0.747 0.747 0.000
Br 0.747 0.253 0.000
Br 0.253 0.747 0.000
Rb 0.750 0.250 0.500
Rb 0.250 0.750 0.500
Zr 0.000 0.000 0.000
Ti 0.500 0.500 0.000

***

Record 7
Computed, not measured: a geometry-optimized NaSi2Pd3 structure at the GGA-PBE level of DFT.

Calculated values
For the total energy, the calculation gives -30.754 eV/f.u. As for the space-group type: C2/m.

Cell: 3.958 8.288 9.954 Å, 107.37 90.00 103.82°
Fractional positions:
Na 0.160 0.319 0.697
Na 0.840 0.681 0.303
Na 0.000 0.000 0.000
Si 0.193 0.386 0.125
Si 0.807 0.614 0.875
Si 0.461 0.922 0.217
Si 0.539 0.078 0.783
Si 0.363 0.725 0.557
Si 0.637 0.275 0.443
Pd 0.034 0.069 0.325
Pd 0.966 0.931 0.675
Pd 0.218 0.437 0.393
Pd 0.782 0.563 0.607
Pd 0.621 0.243 0.196
Pd 0.379 0.757 0.804
Pd 0.500 0.000 0.500
Pd 0.321 0.642 0.040
Pd 0.679 0.358 0.960

***

| no. | V (Å³/cell) | D(E_F) (states/eV per atom) |
| --- | --- | --- |
| 1 | 143.6 | 0.41 |
| 2 | 100.3 | 0.12 |
| 3 | 50.0 | 0.69 |
| 4 | 116.0 | 0.93 |
| 5 | 162.6 | 0.38 |
| 6 | 325.6 | 0.77 |
| 7 | 301.7 | 0.41 |